No. 1
An optimized crystal structure of Rb2PaZn2O6. Source: Alexandria via LeMat-Bulk, functional PBE-GGA.

Lattice parameters (Å, degrees): 6.1918 6.1918 18.3945 90.00 90.00 120.00
Space group R-3m (No. 166, hexagonal axes)
One atom of each set of equivalent atoms:
Rb 0.0000 0.0000 0.2109
Pa 0.0000 0.0000 0.0000
Zn 0.0000 0.0000 0.4078
O 0.0146 0.5073 0.7395

Values from the calculation:
- E_form (uncorrected): -22.1 eV per formula unit
- Volume: 18.51 Å³/atom

---

No. 2
An optimized crystal structure of K4CdP. Source: Alexandria via LeMat-Bulk, functional PBE-GGA.

Lattice parameters (Å, degrees): 9.7709 9.7709 9.7709 90.00 90.00 90.00
Space group F-43m (No. 216)
One atom of each set of equivalent atoms:
K 0.1233 0.1233 0.1233
Cd 0.0000 0.0000 0.5000
P 0.2500 0.2500 0.7500

Values from the calculation:
- Volume: 38.87 Å³/atom
- ΔH_f (0 K): 0.372 eV/atom

---

No. 3
An optimized crystal structure of PrPS4I. Source: Alexandria via LeMat-Bulk, functional PBE-GGA.

Lattice parameters (Å, degrees): 14.1204 8.9508 7.4417 90.00 108.65 90.00
Space group C2/m (No. 12)
One atom of each set of equivalent atoms:
Pr 0.1856 0.0000 0.0800
P 0.1629 0.5000 0.2634
S 0.0071 0.5000 0.1457
S 0.1662 0.5000 0.5325
S 0.2278 0.3263 0.1596
I 0.0148 0.0000 0.2661

Values from the calculation:
- E_form (uncorrected): -5.6 eV per formula unit
- Volume: 31.83 Å³/atom

---

No. 4
An optimized crystal structure of ScAl2CF. Source: Alexandria via LeMat-Bulk, functional PBE-GGA.

Lattice parameters (Å, degrees): 5.5591 5.5591 3.9481 90.00 90.00 90.00
Space group P4/mmm (No. 123)
One atom of each set of equivalent atoms:
Sc 0.0000 0.0000 0.0000
Al 0.0000 0.5000 0.0000
C 0.0000 0.0000 0.5000
F 0.5000 0.5000 0.5000

Values from the calculation:
- E above lowest polymorph: 27.98 kcal/mol of atoms
- E_form (uncorrected): 4.2 eV per formula unit
- Volume: 24.40 Å³/atom

---

Q: volume of number 1 (Rb2PaZn2O6)?
A: 18.51 Å³/atom

---

Q: Among the records above, which one has the highest volume?
A: K4CdP

---

Q: Among the records above, which one has the lowest volume?
A: Rb2PaZn2O6